# BaTe2Pt (PBE, relaxed)
data_BaTe2Pt
_chemical_formula_sum 'Ba1 Te2 Pt1'
_symmetry_space_group_name_H-M 'P m m m'
_symmetry_Int_Tables_number 47
_symmetry_space_group_name_Hall '-P 2 2'
_cell_length_a 3.759
_cell_length_b 3.806
_cell_length_c 7.923
_cell_angle_alpha 90.00
_cell_angle_beta 90.00
_cell_angle_gamma 90.00
loop_
_atom_site_label
_atom_site_fract_x
_atom_site_fract_y
_atom_site_fract_z
Ba1 0.000 0.000 0.000
Te1 0.500 0.500 0.304
Pt1 0.000 0.000 0.500
# Polymorph energy (0 for the lowest one): 2.74 eV/f.u.
# E_form (uncorrected): -0.24 eV per atom